# 1
Computed, not measured: a relaxed structure of TiCo2HIr at the GGA-PBE level of DFT.

Results
polymorph energy (0 for the lowest one) = 0.0 meV/atom
symmetry = P4/mmm (123)

a = 3.655 Å, b = 3.655 Å, c = 3.886 Å
α = 90.00°, β = 90.00°, γ = 90.00°
Atoms (fractional coordinates):
Ti1 0.000 0.000 0.500
Co1 0.000 0.500 0.000
H1 0.000 0.000 0.000
Co2 0.500 0.000 0.000
Ir1 0.500 0.500 0.500

***

# 2
Computed, not measured: a relaxed structure of Co2ReAu at the GGA-PBE level of DFT.

Results
polymorph energy (0 for the lowest one) = 155.5 meV/atom
symmetry = Amm2 (38)

a = 4.058 Å, b = 2.673 Å, c = 5.155 Å
α = 74.98°, β = 90.00°, γ = 90.00°
Each line ends with the local moment (μB).
Atoms (fractional coordinates):
Au1 0.500 0.798 0.779  0.05
Re1 0.000 0.461 0.453  -0.08
Co1 0.500 0.057 0.262  1.00
Co2 0.000 0.184 0.006  1.35

***

# 3
Computed, not measured: a relaxed structure of CrMo2Pb at the GGA-PBE level of DFT.

Results
total energy = -32.62 eV per formula unit
symmetry = Pmmm (47)

a = 3.480 Å, b = 4.358 Å, c = 4.496 Å
α = 90.00°, β = 90.00°, γ = 90.00°
Each line ends with the local moment (μB).
Atoms (fractional coordinates):
Cr1 0.000 0.500 0.500  2.58
Pb1 0.500 0.000 0.500  -0.03
Mo1 0.500 0.500 0.000  -0.54
Mo2 0.000 0.000 0.000  0.20